[1]
Below is a relaxed LaCo4B crystal, with properties calculated at the PBE level.

Output
- ΔE_f: -0.209 eV/atom
- Total moment: 3.303 μB per formula unit
- DOS at the Fermi energy: 7.791 states/eV/cell

a b c (Å): 5.1354 5.1354 6.8293
angles (deg): 90.00 90.00 120.00
Space group P6/mmm (No. 191)
Unique sites:
La 0.0000 0.0000 0.0000 (multiplicity 1)
La 0.0000 0.0000 0.5000 (multiplicity 1)
Co 0.0000 0.5000 0.2094 (multiplicity 6)
Co 0.3333 0.6667 0.5000 (multiplicity 2)
B 0.3333 0.6667 0.0000 (multiplicity 2)



[2]
Below is a relaxed La2Co14B crystal, with properties calculated at the PBE level.

Output
- ΔE_f: -0.106 eV/atom
- Total moment: 18.056 μB per formula unit
- DOS at the Fermi energy: 73.751 states/eV/cell

a b c (Å): 8.6226 8.6226 11.8963
angles (deg): 90.00 90.00 90.00
Space group P4_2/mnm (No. 136)
Unique sites:
La 0.1437 0.1437 0.0000 (multiplicity 4)
La 0.2245 0.2245 0.5000 (multiplicity 4)
Co 0.0000 0.0000 0.3844 (multiplicity 4)
Co 0.0000 0.5000 0.0000 (multiplicity 4)
Co 0.0363 0.6391 0.1799 (multiplicity 16)
Co 0.0706 0.7237 0.3733 (multiplicity 16)
Co 0.0991 0.9009 0.2093 (multiplicity 8)
Co 0.1820 0.1820 0.2527 (multiplicity 8)
B 0.1214 0.8786 0.5000 (multiplicity 4)



[3]
Below is a relaxed La2CoB4 crystal, with properties calculated at the PBE level.

Output
- ΔE_f: 0.222 eV/atom
- Total moment: 0.055 μB per formula unit
- DOS at the Fermi energy: 14.098 states/eV/cell

a b c (Å): 3.9245 3.9245 13.9520
angles (deg): 90.00 90.00 90.00
Space group I4/mmm (No. 139)
Unique sites:
La 0.0000 0.0000 0.1483 (multiplicity 4)
Co 0.0000 0.0000 0.5000 (multiplicity 2)
B 0.0000 0.0000 0.3558 (multiplicity 4)
B 0.0000 0.5000 0.0000 (multiplicity 4)



[4]
Below is a relaxed LaCo4B4 crystal, with properties calculated at the PBE level.

Output
- ΔE_f: -0.448 eV/atom
- Total moment: 0.000 μB per formula unit
- DOS at the Fermi energy: 9.882 states/eV/cell

a b c (Å): 7.1163 7.1163 3.8001
angles (deg): 90.00 90.00 90.00
Space group P4_2/n (No. 86, origin choice 2)
Unique sites:
La 0.2500 0.2500 0.2500 (multiplicity 2)
Co 0.1083 0.6339 0.1438 (multiplicity 8)
B 0.0472 0.9116 0.1460 (multiplicity 8)



[5]
Below is a relaxed LaCo2B2 crystal, with properties calculated at the PBE level.

Output
- ΔE_f: -0.480 eV/atom
- Total moment: 0.000 μB per formula unit
- DOS at the Fermi energy: 4.806 states/eV/cell

a b c (Å): 3.5974 3.5974 10.2554
angles (deg): 90.00 90.00 90.00
Space group I4/mmm (No. 139)
Unique sites:
La 0.0000 0.0000 0.0000 (multiplicity 2)
Co 0.0000 0.5000 0.2500 (multiplicity 4)
B 0.0000 0.0000 0.3334 (multiplicity 4)



[6]
Below is a relaxed LiLaCo2B crystal, with properties calculated at the PBE level.

Output
- ΔE_f: 1.652 eV/atom
- Energy above the lowest structure with this stoichiometry: 1.759 eV per atom
- Total moment: 1.692 μB per formula unit
- DOS at the Fermi energy: 6.576 states/eV/cell

a b c (Å): 4.7263 4.7263 4.9049
angles (deg): 90.00 90.00 90.00
Space group P4/mmm (No. 123)
Unique sites:
Li 0.0000 0.0000 0.0000 (multiplicity 1)
La 0.5000 0.5000 0.5000 (multiplicity 1)
Co 0.0000 0.5000 0.5000 (multiplicity 2)
B 0.5000 0.5000 0.0000 (multiplicity 1)



[7]
Below is a relaxed LiLaCo2B crystal, with properties calculated at the PBE level.

Output
- ΔE_f: -0.107 eV/atom
- Energy above the lowest structure with this stoichiometry: 0.000 eV per atom
- Total moment: 0.000 μB per formula unit
- DOS at the Fermi energy: 1.057 states/eV/cell

a b c (Å): 4.0314 4.0314 4.2584
angles (deg): 90.00 90.00 90.00
Space group P4/mmm (No. 123)
Unique sites:
Li 0.0000 0.0000 0.0000 (multiplicity 1)
La 0.5000 0.5000 0.0000 (multiplicity 1)
Co 0.0000 0.5000 0.5000 (multiplicity 2)
B 0.0000 0.0000 0.5000 (multiplicity 1)



[8]
Below is a relaxed LaCoB2Mo crystal, with properties calculated at the PBE level.

Output
- ΔE_f: 1.311 eV/atom
- Total moment: 1.950 μB per formula unit
- DOS at the Fermi energy: 6.519 states/eV/cell

a b c (Å): 4.2178 4.2178 5.3060
angles (deg): 90.00 90.00 90.00
Space group P4/mmm (No. 123)
Unique sites:
La 0.0000 0.0000 0.0000 (multiplicity 1)
Co 0.5000 0.5000 0.0000 (multiplicity 1)
B 0.0000 0.5000 0.5000 (multiplicity 2)
Mo 0.0000 0.0000 0.5000 (multiplicity 1)



[9]
Below is a relaxed LaCoNi2B crystal, with properties calculated at the PBE level.

Output
- ΔE_f: -0.238 eV/atom
- Total moment: 0.002 μB per formula unit
- DOS at the Fermi energy: 4.695 states/eV/cell

a b c (Å): 4.1048 4.1048 4.0629
angles (deg): 90.00 90.00 90.00
Space group P4/mmm (No. 123)
Unique sites:
La 0.0000 0.0000 0.0000 (multiplicity 1)
Co 0.5000 0.5000 0.0000 (multiplicity 1)
Ni 0.0000 0.5000 0.5000 (multiplicity 2)
B 0.5000 0.5000 0.5000 (multiplicity 1)



[10]
Below is a relaxed La2Co3B12Os crystal, with properties calculated at the PBE level.

Output
- ΔE_f: 0.058 eV/atom
- Total moment: 1.898 μB per formula unit
- DOS at the Fermi energy: 32.557 states/eV/cell

a b c (Å): 5.5016 5.5016 22.9880
angles (deg): 90.00 90.00 120.00
Space group R-3m (No. 166, hexagonal axes)
Unique sites:
La 0.0000 0.0000 0.1403 (multiplicity 6)
Co 0.0000 0.5000 0.0000 (multiplicity 9)
B 0.0798 0.5399 0.0890 (multiplicity 18)
B 0.1039 0.2077 0.7344 (multiplicity 18)
Os 0.0000 0.0000 0.5000 (multiplicity 3)



[11]
Below is a relaxed LaCoBRh2 crystal, with properties calculated at the PBE level.

Output
- ΔE_f: -0.514 eV/atom
- Total moment: 0.729 μB per formula unit
- DOS at the Fermi energy: 2.554 states/eV/cell

a b c (Å): 4.2755 4.2755 4.1065
angles (deg): 90.00 90.00 90.00
Space group P4/mmm (No. 123)
Unique sites:
La 0.0000 0.0000 0.0000 (multiplicity 1)
Co 0.5000 0.5000 0.0000 (multiplicity 1)
B 0.5000 0.5000 0.5000 (multiplicity 1)
Rh 0.0000 0.5000 0.5000 (multiplicity 2)



[12]
Below is a relaxed LaCo2BSe crystal, with properties calculated at the PBE level.

Output
- Raw formation energy: 1896 meV per atom
- Total moment: 1.936 μB per formula unit
- DOS at the Fermi energy: 2.428 states/eV/cell

a b c (Å): 4.7330 4.7330 5.7390
angles (deg): 90.00 90.00 90.00
Space group P4/mmm (No. 123)
Unique sites:
La 0.0000 0.0000 0.0000 (multiplicity 1)
Co 0.0000 0.5000 0.0000 (multiplicity 2)
B 0.5000 0.5000 0.5000 (multiplicity 1)
Se 0.0000 0.0000 0.5000 (multiplicity 1)